# GGA-PBE KTmTe3Pd, relaxed
data_KTmTe3Pd
_chemical_formula_sum 'K2 Tm2 Te6 Pd2'
_symmetry_space_group_name_H-M 'P 1'
_symmetry_Int_Tables_number 1
_symmetry_space_group_name_Hall 'P 1'
_cell_length_a 9.639
_cell_length_b 4.303
_cell_length_c 10.532
_cell_angle_alpha 90.00
_cell_angle_beta 113.25
_cell_angle_gamma 90.00
loop_
_atom_site_label
_atom_site_type_symbol
_atom_site_fract_x
_atom_site_fract_y
_atom_site_fract_z
K1 K 0.221 0.250 0.245
K2 K 0.779 0.750 0.755
Tm1 Tm 0.316 0.750 0.853
Tm2 Tm 0.684 0.250 0.147
Te1 Te 0.098 0.250 0.865
Te2 Te 0.201 0.750 0.525
Te3 Te 0.464 0.750 0.165
Te4 Te 0.536 0.250 0.835
Te5 Te 0.799 0.250 0.475
Te6 Te 0.902 0.750 0.135
Pd1 Pd 0.100 0.250 0.609
Pd2 Pd 0.900 0.750 0.391
# **Space-group type**: P2_1/m (11)
# **DFT total energy**: -25.78 eV per formula unit